[1]
Here is an optimized crystal structure of Fe from the Alexandria database. Energies are from PBE-GGA.

Geometry as CIF:
```
data_Fe
_chemical_formula_sum 'Fe6'
_symmetry_space_group_name_H-M 'P 1'
_symmetry_Int_Tables_number 1
_cell_length_a 4.424
_cell_length_b 4.424
_cell_length_c 4.424
_cell_angle_alpha 109.48
_cell_angle_beta 109.47
_cell_angle_gamma 109.47
loop_
_symmetry_equiv_pos_as_xyz
'x,y,z'
loop_
_atom_site_label
_atom_site_type_symbol
_atom_site_fract_x
_atom_site_fract_y
_atom_site_fract_z
Fe1 Fe 0.875 0.750 0.625
Fe2 Fe 0.375 0.625 0.750
Fe3 Fe 0.625 0.250 0.875
Fe4 Fe 0.250 0.375 0.125
Fe5 Fe 0.750 0.125 0.375
Fe6 Fe 0.125 0.875 0.250
```

As for the symmetry: I-43d, No. 220. The formation energy comes out at 39 kJ/mol of formula units.


[2]
Here is an optimized crystal structure of BaIrSCl2 from the Alexandria database. Energies are from PBE-GGA.

Geometry as CIF:
```
data_BaIrSCl2
_chemical_formula_sum 'Ba1 Ir1 S1 Cl2'
_symmetry_space_group_name_H-M 'P 1'
_symmetry_Int_Tables_number 1
_cell_length_a 5.957
_cell_length_b 5.957
_cell_length_c 6.377
_cell_angle_alpha 90.00
_cell_angle_beta 90.00
_cell_angle_gamma 90.00
loop_
_symmetry_equiv_pos_as_xyz
'x,y,z'
loop_
_atom_site_label
_atom_site_type_symbol
_atom_site_fract_x
_atom_site_fract_y
_atom_site_fract_z
S1 S 0.000 0.000 0.500
Ir1 Ir 0.500 0.500 0.500
Ba1 Ba 0.000 0.000 0.000
Cl1 Cl 0.000 0.500 0.000
Cl2 Cl 0.500 0.000 0.000
```

As for the symmetry: P4/mmm, No. 123.


[3]
Here is an optimized crystal structure of Tm2Ag3SbSe6 from the Alexandria database. Energies are from PBE-GGA.

Geometry as CIF:
```
data_Tm2Ag3SbSe6
_chemical_formula_sum 'Tm2 Ag3 Sb1 Se6'
_symmetry_space_group_name_H-M 'P 1'
_symmetry_Int_Tables_number 1
_cell_length_a 4.123
_cell_length_b 8.091
_cell_length_c 9.066
_cell_angle_alpha 100.92
_cell_angle_beta 103.14
_cell_angle_gamma 90.00
loop_
_symmetry_equiv_pos_as_xyz
'x,y,z'
loop_
_atom_site_label
_atom_site_type_symbol
_atom_site_fract_x
_atom_site_fract_y
_atom_site_fract_z
Tm1 Tm 0.832 0.672 0.665
Tm2 Tm 0.168 0.328 0.335
Ag1 Ag 0.500 0.500 0.000
Ag2 Ag 0.831 0.179 0.661
Ag3 Ag 0.169 0.821 0.339
Sb1 Sb 0.500 0.000 0.000
Se1 Se 0.334 0.917 0.667
Se2 Se 0.668 0.573 0.336
Se3 Se 0.666 0.083 0.333
Se4 Se 0.002 0.253 0.003
Se5 Se 0.998 0.747 0.997
Se6 Se 0.332 0.427 0.664
```

As for the symmetry: C2/m, No. 12.


[4]
Here is an optimized crystal structure of LiLa2Sc from the Alexandria database. Energies are from PBE-GGA.

Geometry as CIF:
```
data_LiLa2Sc
_chemical_formula_sum 'Li1 La2 Sc1'
_symmetry_space_group_name_H-M 'P 1'
_symmetry_Int_Tables_number 1
_cell_length_a 5.953
_cell_length_b 5.953
_cell_length_c 6.010
_cell_angle_alpha 77.27
_cell_angle_beta 77.27
_cell_angle_gamma 34.60
loop_
_symmetry_equiv_pos_as_xyz
'x,y,z'
loop_
_atom_site_label
_atom_site_type_symbol
_atom_site_fract_x
_atom_site_fract_y
_atom_site_fract_z
La1 La 0.010 0.010 0.995
La2 La 0.490 0.490 0.505
Li1 Li 0.750 0.750 0.750
Sc1 Sc 0.250 0.250 0.250
```

As for the symmetry: C2/m, No. 12. The formation energy comes out at 60 kJ/mol of formula units.


The evaluated raw total energy for the records listed, in turn: -8.06; -3.23; -4.37; -4.37 eV/atom.